# 1
The following is a GGA-PBE calculation of crystalline Th6HgOs2Se3 at its relaxed geometry, from the Alexandria database.

a = 18.9035 Å, b = 4.1842 Å, c = 8.8434 Å
α = 90.00°, β = 106.55°, γ = 90.00°
With the nearest neighbours (Å) after each atom.
Space group C2/m (No. 12)
One atom of each set of equivalent atoms:
Th 0.0132 0.0000 0.2670 (multiplicity 4)  1 Os 2.81, 2 Se 3.00, 2 Hg 3.11
Th 0.1704 0.5000 0.1155 (multiplicity 4)  2 Os 2.86, 3 Se 3.09-3.20, 1 Hg 3.09
Th 0.1764 0.5000 0.5664 (multiplicity 4)  3 Os 2.82-2.90
Hg 0.0000 0.5000 0.0000 (multiplicity 2)  6 Th 3.09-3.11
Os 0.1679 0.0000 0.3353 (multiplicity 4)  6 Th 2.81-2.90
Se 0.0000 0.5000 0.5000 (multiplicity 2)  6 Th 3.00-3.22
Se 0.1614 0.0000 0.8373 (multiplicity 4)  6 Th 3.09-3.25

Properties
Raw total energy (eV/atom): -7.4103
V (Å³ per cell): 670.5
Density (g/cm3): 10.95
Formation energy from raw total energies (kJ/mol of formula units): -1080
Density of states at the Fermi level (states/eV/cell): 16.06

=====

# 2
The following is a GGA-PBE calculation of crystalline KTi2SCl at its relaxed geometry, from the Alexandria database.

a = 4.5230 Å, b = 4.5230 Å, c = 5.7114 Å
α = 90.00°, β = 90.00°, γ = 90.00°
With the nearest neighbours (Å) after each atom.
Space group P4/mmm (No. 123)
One atom of each set of equivalent atoms:
K 0.0000 0.0000 0.0000 (multiplicity 1)  2 Cl 2.86, 4 S 3.20
Ti 0.0000 0.5000 0.5000 (multiplicity 2)  2 Cl 2.26
S 0.5000 0.5000 0.0000 (multiplicity 1)  4 K 3.20
Cl 0.0000 0.0000 0.5000 (multiplicity 1)  4 Ti 2.26

Properties
Raw total energy (eV/atom): -4.4136
V (Å³ per cell): 116.8
Density (g/cm3): 2.88
Formation energy from raw total energies (kJ/mol of formula units): 77
Density of states at the Fermi level (states/eV/cell): 6.17

=====

# 3
The following is a GGA-PBE calculation of crystalline PrThNpN3 at its relaxed geometry, from the Alexandria database.

a = 7.3369 Å, b = 3.6914 Å, c = 8.8594 Å
α = 90.00°, β = 95.36°, γ = 90.00°
With the nearest neighbours (Å) after each atom.
Space group P2_1/m (No. 11)
One atom of each set of equivalent atoms:
Pr 0.1491 0.2500 0.1309 (multiplicity 2)  5 N 2.53-2.70
Th 0.3690 0.7500 0.8419 (multiplicity 2)  6 N 2.40-2.63
Np 0.0513 0.2500 0.5871 (multiplicity 2)  4 N 2.20-2.38
N 0.1148 0.2500 0.8444 (multiplicity 2)  1 Np 2.28, 1 Pr 2.53
N 0.2145 0.7500 0.5892 (multiplicity 2)  3 Np 2.20-2.38, 1 Th 2.41
N 0.4001 0.7500 0.1146 (multiplicity 2)  3 Th 2.40-2.51, 2 Pr 2.62

Properties
Raw total energy (eV/atom): -9.3866
V (Å³ per cell): 238.9
Density (g/cm3): 9.06
Formation energy from raw total energies (kJ/mol of formula units): -599
Density of states at the Fermi level (states/eV/cell): 7.58

=====

# 4
The following is a GGA-PBE calculation of crystalline LaNdEr2Se6 at its relaxed geometry, from the Alexandria database.

a = 7.3667 Å, b = 7.3667 Å, c = 19.4040 Å
α = 90.00°, β = 90.00°, γ = 120.00°
With the nearest neighbours (Å) after each atom.
Space group R3 (No. 146, hexagonal axes)
One atom of each set of equivalent atoms:
La 0.0000 0.0000 0.0000 (multiplicity 3)  6 Se 2.99-3.07
Nd 0.0000 0.0000 0.4970 (multiplicity 3)  6 Se 2.95-3.02
Er 0.0000 0.0000 0.2950 (multiplicity 3)  6 Se 2.82-2.87
Er 0.0000 0.0000 0.7963 (multiplicity 3)  6 Se 2.81-2.88
Se 0.0200 0.6338 0.0569 (multiplicity 9)  2 Er 2.81-2.87, 1 La 2.99, 1 Nd 3.02
Se 0.0207 0.3776 0.5572 (multiplicity 9)  2 Er 2.82-2.88, 1 Nd 2.95, 1 La 3.07

Properties
Raw total energy (eV/atom): -5.8498
V (Å³ per cell): 911.9
Density (g/cm3): 5.96
Formation energy from raw total energies (kJ/mol of formula units): -1811
Density of states at the Fermi level (states/eV/cell): 0.00

=====

# 5
The following is a GGA-PBE calculation of crystalline Dy12Tl3H5 at its relaxed geometry, from the Alexandria database.

a = 15.6235 Å, b = 15.6235 Å, c = 15.6235 Å
α = 90.00°, β = 90.00°, γ = 90.00°
With the nearest neighbours (Å) after each atom.
Space group Ia-3d (No. 230)
One atom of each set of equivalent atoms:
Dy 0.0426 0.0541 0.6503 (multiplicity 96)  1 H 2.19
Tl 0.0000 0.2500 0.1250 (multiplicity 24)  8 Dy 3.16
H 0.0000 0.0000 0.0000 (multiplicity 16)  6 Dy 2.58
H 0.0000 0.2500 0.3750 (multiplicity 24)  4 Dy 2.19

Properties
Raw total energy (eV/atom): -4.1637
V (Å³ per cell): 3813.6
Density (g/cm3): 8.95
Density of states at the Fermi level (states/eV/cell): 139.56

=====

# 6
The following is a GGA-PBE calculation of crystalline KBaAl2Se at its relaxed geometry, from the Alexandria database.

a = 5.4857 Å, b = 5.4857 Å, c = 6.0906 Å
α = 90.00°, β = 90.00°, γ = 90.00°
With the nearest neighbours (Å) after each atom.
Space group P4/mmm (No. 123)
One atom of each set of equivalent atoms:
K 0.0000 0.0000 0.0000 (multiplicity 1)  4 Ba 3.88, 8 Al 4.10
Ba 0.5000 0.5000 0.0000 (multiplicity 1)  2 Se 3.05
Al 0.0000 0.5000 0.5000 (multiplicity 2)  2 Se 2.74
Se 0.5000 0.5000 0.5000 (multiplicity 1)  4 Al 2.74, 2 Ba 3.05

Properties
Raw total energy (eV/atom): -2.7371
V (Å³ per cell): 183.3
Density (g/cm3): 2.80
Formation energy from raw total energies (kJ/mol of formula units): 29
Density of states at the Fermi level (states/eV/cell): 4.67

=====

# 7
The following is a GGA-PBE calculation of crystalline Tb3Mo2N6 at its relaxed geometry, from the Alexandria database.

a = 3.9575 Å, b = 3.9575 Å, c = 18.8366 Å
α = 90.00°, β = 90.00°, γ = 90.00°
With the nearest neighbours (Å) after each atom.
Space group I4/mmm (No. 139)
One atom of each set of equivalent atoms:
Tb 0.0000 0.0000 0.0000 (multiplicity 2)  8 N 2.54
Tb 0.0000 0.0000 0.1790 (multiplicity 4)  1 N 2.26
Mo 0.0000 0.0000 0.4021 (multiplicity 4)  5 N 1.94-1.99
N 0.0000 0.0000 0.2990 (multiplicity 4)  1 Mo 1.94
N 0.0000 0.5000 0.0846 (multiplicity 8)  2 Mo 1.99

Properties
Raw total energy (eV/atom): -8.7967
V (Å³ per cell): 295.0
Density (g/cm3): 8.47
Formation energy from raw total energies (kJ/mol of formula units): -1086
Density of states at the Fermi level (states/eV/cell): 6.86

=====

# 8
The following is a GGA-PBE calculation of crystalline Ba4Se2O2F at its relaxed geometry, from the Alexandria database.

a = 14.8628 Å, b = 4.4625 Å, c = 7.6786 Å
α = 90.00°, β = 105.60°, γ = 90.00°
With the nearest neighbours (Å) after each atom.
Space group C2/m (No. 12)
One atom of each set of equivalent atoms:
Ba 0.0092 0.0000 0.2753 (multiplicity 4)  1 O 2.50
Ba 0.2177 0.5000 0.6798 (multiplicity 4)  3 O 2.58-2.68
Se 0.1095 0.5000 0.0433 (multiplicity 4)  1 Se 3.14, 4 Ba 3.43-3.44
O 0.1592 0.0000 0.5195 (multiplicity 4)  4 Ba 2.50-2.68
F 0.0000 0.5000 0.5000 (multiplicity 2)  6 Ba 2.85-3.16

Properties
Raw total energy (eV/atom): -5.3038
V (Å³ per cell): 490.5
Density (g/cm3): 5.13
Formation energy from raw total energies (kJ/mol of formula units): -2054
Density of states at the Fermi level (states/eV/cell): 1.84